Run i
Ta2PbBr: relaxed, PBE-GGA.

The calculation puts the density of states at the Fermi level at 1.1710 states/eV per atom.

It has space group I-42d (No. 122), with a = 4.211 Å, b = 4.211 Å, c = 20.353 Å, α = 90.00°, β = 90.00° and γ = 90.00°. The distinct sites, in fractional coordinates, are Ta at (0.248, 0.250, 0.125), Pb at (0.000, 0.000, 0.500) and Br at (0.000, 0.000, 0.000).

Run ii
Ta2PbBr: relaxed, PBE-GGA.

The calculation puts the density of states at the Fermi level at 1.1119 states/eV per atom.

It has space group Fm-3m (No. 225), with a = 6.826 Å, b = 6.826 Å, c = 6.826 Å, α = 90.00°, β = 90.00° and γ = 90.00°. The distinct sites, in fractional coordinates, are Ta at (0.250, 0.250, 0.250), Pb at (0.000, 0.000, 0.000) and Br at (0.000, 0.000, 0.500).

Most stable of them? run ii.

Run i
Ta2PbBr: relaxed, PBE-GGA.

The calculation puts the density of states at the Fermi level at 0.7180 states/eV per atom.

It has space group P4/mmm (No. 123), with a = 3.456 Å, b = 3.456 Å, c = 6.932 Å, α = 90.00°, β = 90.00° and γ = 90.00°. The distinct sites, in fractional coordinates, are Ta at (0.000, 0.000, 0.220), Pb at (0.500, 0.500, 0.000) and Br at (0.500, 0.500, 0.500).

Run ii
Ta2PbBr: relaxed, PBE-GGA.

The calculation puts the density of states at the Fermi level at 0.7642 states/eV per atom.

It has space group Imm2 (No. 44), with a = 3.149 Å, b = 5.187 Å, c = 11.094 Å, α = 90.00°, β = 90.00° and γ = 90.00°. The distinct sites, in fractional coordinates, are Ta at (0.000, 0.000, 0.000), Ta at (0.000, 0.500, 0.308), Pb at (0.000, 0.000, 0.535) and Br at (0.000, 0.500, 0.734).

Run iii
Ta2PbBr: relaxed, PBE-GGA.

The calculation puts the density of states at the Fermi level at 0.6942 states/eV per atom.

It has space group P4mm (No. 99), with a = 3.465 Å, b = 3.465 Å, c = 8.245 Å, α = 90.00°, β = 90.00° and γ = 90.00°. The distinct sites, in fractional coordinates, are Ta at (0.000, 0.000, 0.000), Ta at (0.500, 0.500, 0.153), Pb at (0.500, 0.500, 0.760) and Br at (0.000, 0.000, 0.375).

Most stable of them? run iii.

Run i
TcPb3Br: relaxed, PBE-GGA.

The calculation puts the density of states at the Fermi level at 1.2576 states/eV per atom.

It has space group Pm-3m (No. 221), with a = 5.639 Å, b = 5.639 Å, c = 5.639 Å, α = 90.00°, β = 90.00° and γ = 90.00°. The distinct sites, in fractional coordinates, are Tc at (0.000, 0.000, 0.000), Pb at (0.000, 0.500, 0.500) and Br at (0.500, 0.500, 0.500).

Run ii
TcPb3Br: relaxed, PBE-GGA.

The calculation puts the density of states at the Fermi level at 0.0000 states/eV per atom.

It has space group Pm-3m (No. 221), with a = 5.331 Å, b = 5.331 Å, c = 5.331 Å, α = 90.00°, β = 90.00° and γ = 90.00°. The distinct sites, in fractional coordinates, are Tc at (0.000, 0.000, 0.000), Pb at (0.000, 0.000, 0.500) and Br at (0.500, 0.500, 0.500).

Most stable of them? run ii.

Run i
TcPb2Br2: relaxed, PBE-GGA.

The calculation puts the density of states at the Fermi level at 0.3884 states/eV per atom.

It has space group P4/mbm (No. 127), with a = 6.820 Å, b = 6.820 Å, c = 5.826 Å, α = 90.00°, β = 90.00° and γ = 90.00°. The distinct sites, in fractional coordinates, are Tc at (0.000, 0.000, 0.000), Pb at (0.198, 0.302, 0.500) and Br at (0.172, 0.672, 0.000).

Run ii
TcPb2Br2: relaxed, PBE-GGA.

The calculation puts the density of states at the Fermi level at 0.8873 states/eV per atom.

It has space group I4/mmm (No. 139), with a = 4.258 Å, b = 4.258 Å, c = 17.750 Å, α = 90.00°, β = 90.00° and γ = 90.00°. The distinct sites, in fractional coordinates, are Tc at (0.000, 0.000, 0.000), Pb at (0.000, 0.500, 0.250) and Br at (0.000, 0.000, 0.408).

Most stable of them? run i.

Run i
Te2PbBr: relaxed, PBE-GGA.

The calculation puts the density of states at the Fermi level at 0.2008 states/eV per atom.

It has space group Pm (No. 6), with a = 4.490 Å, b = 4.342 Å, c = 7.815 Å, α = 90.00°, β = 90.58° and γ = 90.00°. The distinct sites, in fractional coordinates, are Te at (0.000, 0.000, 0.000), Te at (0.496, 0.500, 0.011), Pb at (0.647, 0.000, 0.337) and Br at (0.034, 0.500, 0.491).

Run ii
Te2PbBr: relaxed, PBE-GGA.

The calculation puts the density of states at the Fermi level at 0.1924 states/eV per atom.

It has space group P2/m (No. 10), with a = 5.013 Å, b = 5.966 Å, c = 5.677 Å, α = 90.00°, β = 111.52° and γ = 90.00°. The distinct sites, in fractional coordinates, are Te at (0.197, 0.000, 0.364), Pb at (0.000, 0.500, 0.500) and Br at (0.500, 0.500, 0.000).

Run iii
Te2PbBr: relaxed, PBE-GGA.

The calculation puts the density of states at the Fermi level at 0.8311 states/eV per atom.

It has space group R3m (No. 160, hexagonal axes), with a = 3.9571 Å, b = 3.9571 Å, c = 28.8459 Å, α = 90.00°, β = 90.00° and γ = 120.00°. The distinct sites, in fractional coordinates, are Te at (0.0000, 0.0000, 0.0000), Te at (0.0000, 0.0000, 0.2588), Pb at (0.0000, 0.0000, 0.5109) and Br at (0.0000, 0.0000, 0.7712).

Run iv
Te2PbBr: relaxed, PBE-GGA.

The calculation puts the density of states at the Fermi level at 0.1817 states/eV per atom.

It has space group C2 (No. 5), with a = 7.884 Å, b = 11.527 Å, c = 4.820 Å, α = 90.00°, β = 127.24° and γ = 90.00°. The distinct sites, in fractional coordinates, are Te at (0.000, 0.000, 0.000), Te at (0.000, 0.132, 0.500), Pb at (0.000, 0.582, 0.000) and Br at (0.000, 0.733, 0.500).

Most stable of them? run i.

Run i
Te2PbBr: relaxed, PBE-GGA.

The calculation puts the density of states at the Fermi level at 0.5894 states/eV per atom.

It has space group Cm (No. 8), with a = 10.149 Å, b = 4.154 Å, c = 7.941 Å, α = 90.00°, β = 107.94° and γ = 90.00°. The distinct sites, in fractional coordinates, are Te at (0.000, 0.000, 0.000), Te at (0.248, 0.000, 0.905), Pb at (0.269, 0.500, 0.248) and Br at (0.447, 0.000, 0.475).

Run ii
Te2PbBr: relaxed, PBE-GGA.

The calculation puts the density of states at the Fermi level at 0.4944 states/eV per atom.

It has space group Imm2 (No. 44), with a = 3.804 Å, b = 6.807 Å, c = 10.149 Å, α = 90.00°, β = 90.00° and γ = 90.00°. The distinct sites, in fractional coordinates, are Te at (0.000, 0.000, 0.000), Te at (0.000, 0.500, 0.282), Pb at (0.000, 0.000, 0.502) and Br at (0.000, 0.500, 0.779).

Most stable of them? run i.

Run i
TePbBr: relaxed, PBE-GGA.

The calculation puts the density of states at the Fermi level at 0.7736 states/eV per atom.

It has space group P3m1 (No. 156), with a = 5.4429 Å, b = 5.4429 Å, c = 3.5008 Å, α = 90.00°, β = 90.00° and γ = 120.00°. The distinct sites, in fractional coordinates, are Te at (0.0000, 0.0000, 0.0000), Pb at (0.3333, 0.6667, 0.6412) and Br at (0.6667, 0.3333, 0.4864).

Run ii
TePbBr: relaxed, PBE-GGA.

The calculation puts the density of states at the Fermi level at 0.2734 states/eV per atom.

It has space group Cm (No. 8), with a = 16.182 Å, b = 4.628 Å, c = 5.899 Å, α = 90.00°, β = 104.61° and γ = 90.00°. The distinct sites, in fractional coordinates, are Te at (0.000, 0.000, 0.000), Te at (0.201, 0.500, 0.536), Pb at (0.067, 0.000, 0.528), Pb at (0.366, 0.000, 0.923), Br at (0.223, 0.500, 0.064) and Br at (0.416, 0.000, 0.453).

Most stable of them? run ii.

Run i
TePbBr: relaxed, PBE-GGA.

The calculation puts the density of states at the Fermi level at 0.9445 states/eV per atom.

It has space group P3m1 (No. 156), with a = 4.3683 Å, b = 4.3683 Å, c = 6.5237 Å, α = 90.00°, β = 90.00° and γ = 120.00°. The distinct sites, in fractional coordinates, are Te at (0.0000, 0.0000, 0.0000), Pb at (0.6667, 0.3333, 0.7386) and Br at (0.3333, 0.6667, 0.4385).

Run ii
TePbBr: relaxed, PBE-GGA.

It has space group C2/m (No. 12), with a = 8.753 Å, b = 5.720 Å, c = 9.665 Å, α = 90.00°, β = 114.12° and γ = 90.00°. The distinct sites, in fractional coordinates, are Te at (0.234, 0.000, 0.454), Pb at (0.072, 0.500, 0.761) and Br at (0.237, 0.000, 0.862).

Most stable of them? run ii.